# 1
The following is a DFT calculation (PBE) of SrInSnIr after structural relaxation.

Cell: 4.6186 4.6186 6.3169 Å, 68.56 68.56 60.00°
Fractional positions:
Ir 0.6282 0.6282 0.1155
In 0.0223 0.0223 0.9332
Sn 0.2627 0.2627 0.2119
Sr 0.8127 0.8127 0.5618

Calculated values
Raw total energy: -4.71 eV/atom

=====

# 2
The following is a DFT calculation (PBE) of MgBe5Rh6 after structural relaxation.

Cell: 4.0148 5.7166 6.9580 Å, 114.27 106.79 90.00°
Fractional positions:
Rh 0.1731 0.4321 0.3460
Be 0.0000 0.5000 0.0000
Mg 0.0000 0.0000 0.0000
Rh 0.8271 0.0863 0.6544
Be 0.6618 0.1609 0.3229
Be 0.3317 0.3311 0.6631
Rh 0.8269 0.5679 0.6540
Rh 0.5001 0.2669 0.0003
Rh 0.1729 0.9137 0.3456
Be 0.3382 0.8391 0.6771
Rh 0.4999 0.7331 0.9997
Be 0.6683 0.6689 0.3369

Calculated values
Raw total energy: -5.89 eV/atom

=====

# 3
The following is a DFT calculation (PBE) of SrMgZrTi2 after structural relaxation.

Cell: 4.9893 5.8946 4.9893 Å, 90.00 90.00 90.00°
Each line ends with the local moment (μB).
Fractional positions:
Ti 0.5000 0.0000 0.0000  0.70
Zr 0.0000 0.0000 0.0000  0.07
Mg 0.5000 0.5000 0.5000  0.00
Sr 0.0000 0.5000 0.0000  0.01
Ti 0.0000 0.0000 0.5000  0.43

Calculated values
Raw total energy: -4.47 eV/atom

=====

# 4
The following is a DFT calculation (PBE) of NdPRuN after structural relaxation.

Cell: 3.9760 3.9760 7.9363 Å, 90.00 90.00 90.00°
Fractional positions:
P 0.5000 0.0000 0.6510
N 0.5000 0.0000 0.8641
P 0.0000 0.5000 0.3490
Ru 0.0000 0.0000 0.5000
Nd 0.0000 0.5000 0.8324
Ru 0.5000 0.5000 0.5000
Nd 0.5000 0.0000 0.1676
N 0.0000 0.5000 0.1359

Calculated values
E_form (uncorrected): -1138 meV/atom

=====

# 5
The following is a DFT calculation (PBE) of AcPuSnPd after structural relaxation.

Cell: 5.4308 5.4308 5.4308 Å, 60.00 60.00 60.00°
Each line ends with the local moment (μB).
Fractional positions:
Sn 0.2500 0.2500 0.2500  -0.10
Ac 0.5000 0.5000 0.5000  0.01
Pu 0.0000 0.0000 0.0000  5.38
Pd 0.7500 0.7500 0.7500  -0.07

Calculated values
Raw total energy: -7.31 eV/atom

=====

# 6
The following is a DFT calculation (PBE) of Zr2ScAuN after structural relaxation.

Cell: 4.4711 4.4711 4.3978 Å, 90.00 90.00 90.00°
Fractional positions:
Zr 0.0000 0.5000 0.0000
Au 0.5000 0.5000 0.5000
Zr 0.5000 0.0000 0.0000
Sc 0.0000 0.0000 0.5000
N 0.0000 0.0000 0.0000

Calculated values
E_form (uncorrected): -1035 meV/atom

=====

# 7
The following is a DFT calculation (PBE) of La2SmDy5Ho after structural relaxation.

Cell: 8.6580 8.6580 10.0276 Å, 115.58 115.58 90.00°
Fractional positions:
Dy 0.5746 0.6419 0.7165
Dy 0.0000 0.0000 0.0000
Dy 0.0746 0.5746 0.7165
Sm 0.7500 0.7500 0.5000
La 0.6180 0.1180 0.0000
Dy 0.1419 0.0746 0.7165
La 0.8820 0.6180 0.0000
La 0.3820 0.8820 0.0000
Dy 0.3581 0.8581 0.2835
Dy 0.6419 0.1419 0.7165
Sm 0.2500 0.2500 0.5000
Dy 0.8581 0.9254 0.2835
Dy 0.9254 0.4254 0.2835
La 0.1180 0.3820 0.0000
Ho 0.2500 0.7500 0.5000
Dy 0.4254 0.3581 0.2835
Dy 0.5000 0.5000 0.0000
Ho 0.7500 0.2500 0.5000

Calculated values
Raw total energy: -4.43 eV/atom

=====

# 8
The following is a DFT calculation (PBE) of Na2PrGeSe4 after structural relaxation.

Cell: 8.3712 8.3712 8.5982 Å, 120.90 120.90 90.28°
Fractional positions:
Se 0.7493 0.7507 0.9711
Se 0.7634 0.2349 0.9991
Pr 0.0000 0.5000 0.0000
Se 0.7349 0.2634 0.4991
Na 0.0000 0.0000 0.5000
Se 0.2366 0.7651 0.0009
Se 0.2507 0.2493 0.4710
Se 0.2651 0.7366 0.5009
Ge 0.5000 0.5000 0.5000
Se 0.7493 0.7507 0.5290
Na 0.5000 0.0000 0.0000
Pr 0.0000 0.5000 0.5000
Na 0.5000 0.5000 0.0000
Na 0.5000 0.0000 0.5000
Se 0.2507 0.2493 0.0290
Ge 0.0000 0.0000 0.0000

Calculated values
E_form (uncorrected): -1058 meV/atom